# 1
Tb8Tc2Bi PBE relaxed; ΔH_f (0 K) = -0.158 eV/atom; magnetic moment = 0.0000 μB per atom
1.0
6.226 0.139 -0.033
-0.147 5.935 -2.784
0.487 0.308 8.353
Tb Tc Bi
8 2 1
Direct
0.618 0.874 0.244
0.382 0.630 0.756
0.873 0.792 0.585
0.127 0.208 0.415
0.618 0.370 0.244
0.382 0.126 0.756
0.153 0.579 0.158
0.847 0.421 0.842
0.336 0.729 0.457
0.664 0.271 0.543
0.000 0.000 0.000

# 2
Tb6TcBi2 PBE relaxed; ΔH_f (0 K) = -0.479 eV/atom; magnetic moment = 0.0000 μB per atom
1.0
-3.324 0.225 2.708
-5.228 0.783 -6.481
1.892 -7.592 2.953
Tb Tc Bi
6 1 2
Direct
0.500 0.606 0.000
0.500 0.394 0.394
0.500 0.000 0.606
0.000 0.233 0.000
0.000 0.767 0.767
0.000 0.000 0.233
0.500 0.000 0.000
0.000 0.333 0.667
0.000 0.667 0.333

# 3
Tb6Tc2Bi PBE relaxed; ΔH_f (0 K) = -0.233 eV/atom; magnetic moment = 0.0000 μB per atom
1.0
-6.501 4.540 -3.424
-2.505 -7.825 2.661
3.172 3.726 7.117
Tb Tc Bi
12 4 2
Direct
0.527 0.810 0.717
0.473 0.190 0.283
0.092 0.810 0.283
0.908 0.190 0.717
0.780 0.020 0.239
0.220 0.980 0.761
0.220 0.459 0.239
0.780 0.541 0.761
0.697 0.319 0.016
0.303 0.681 0.984
0.303 0.319 0.621
0.697 0.681 0.379
0.500 0.115 0.615
0.500 0.885 0.385
0.632 0.632 0.000
0.368 0.368 0.000
0.000 0.500 0.500
0.000 0.000 0.000

# 4
Tb8TcBi2 PBE relaxed; ΔH_f (0 K) = -0.257 eV/atom; magnetic moment = 0.0000 μB per atom
1.0
5.400 0.000 0.000
0.000 6.935 -0.431
-2.700 -3.488 8.770
Tb Tc Bi
8 1 2
Direct
0.408 0.572 0.817
0.641 0.968 0.282
0.795 0.700 0.591
0.992 0.219 0.984
0.205 0.300 0.409
0.359 0.032 0.718
0.592 0.428 0.183
0.008 0.781 0.016
0.500 0.000 0.000
0.830 0.278 0.660
0.170 0.722 0.340

# 5
TbBiTe2 PBE relaxed; magnetic moment = 0.0000 μB per atom; uncorrected energy = -0.3241 Ry per atom
1.0
-1.286 -2.859 2.819
2.654 -2.997 1.323
3.437 3.913 8.689
Te Tb Bi
2 1 1
Direct
0.104 0.104 0.688
0.896 0.896 0.312
0.500 0.500 0.500
0.000 0.000 0.000

# 6
Tb3BiTe3 PBE relaxed; magnetic moment = 0.0000 μB per atom; uncorrected energy = -0.3616 Ry per atom
1.0
7.833 0.000 0.000
3.916 6.783 0.000
3.916 2.261 10.936
Tb Bi Te
6 2 6
Direct
0.311 0.563 0.189
0.937 0.311 0.189
0.563 0.937 0.189
0.437 0.063 0.811
0.063 0.689 0.811
0.689 0.437 0.811
0.333 0.333 0.000
0.667 0.667 0.000
0.408 0.806 0.679
0.806 0.107 0.679
0.107 0.408 0.679
0.893 0.592 0.321
0.194 0.893 0.321
0.592 0.194 0.321